(1)
Crystalline Li3TlZn at its relaxed geometry, computed with GGA-PBE.

Cell and atoms, written as extended XYZ:
```
10
Lattice="4.487 0.000 0.000 0.000 6.668 -2.634 0.000 -0.081 7.169" Properties=species:S:1:pos:R:3 pbc="T T T"
Tl 1.122 1.388 5.035
Li 3.365 3.488 4.442
Li 1.122 3.098 0.093
Zn 1.122 2.935 2.788
Li 0.000 0.000 0.000
Zn 3.365 3.652 1.746
Li 2.244 0.000 0.000
Li 1.122 5.394 1.674
Li 3.365 1.192 2.861
Tl 3.365 5.199 -0.501
```

Properties
E_form: 1.1 kJ per mole of atoms
volume: 213.5 Å³ per cell
electronic total energy: -18.7 eV for the cell shown
magnetization: 0.0 μB per formula unit
space-group type: Cmcm

---

(2)
Crystalline LiCaSiAg at its relaxed geometry, computed with GGA-PBE.

Cell and atoms, written as extended XYZ:
```
4
Lattice="4.706 0.000 0.000 2.353 4.076 0.000 2.353 1.359 3.843" Properties=species:S:1:pos:R:3 pbc="T T T"
Ag 4.706 2.717 1.921
Si 7.059 4.076 2.882
Ca 2.353 1.359 0.961
Li 0.000 0.000 0.000
```

Properties
volume: 73.7 Å³ per cell
formation energy without anion corrections: -259 meV/atom
electronic total energy: -13.2 eV for the cell shown
magnetization: 0.0 μB per formula unit
space-group type: F-43m

---

(3)
Crystalline TbGa4Ru2Rh at its relaxed geometry, computed with GGA-PBE.

Cell and atoms, written as extended XYZ:
```
8
Lattice="-1.899 2.043 3.217 -1.026 -2.111 3.553 6.576 1.831 5.538" Properties=species:S:1:pos:R:3 pbc="T T T"
Ga -0.453 0.322 5.163
Ga 0.041 0.660 8.058
Ga 4.104 1.441 7.144
Tb 0.000 0.000 0.000
Ga 3.610 1.103 4.249
Rh 1.825 0.882 6.154
Ru 1.171 0.504 3.189
Ru 2.480 1.259 9.118
```

Properties
E_form: -49.2 kJ per mole of atoms
volume: 132.5 Å³ per cell
electronic total energy: -46.7 eV for the cell shown
magnetization: 0.0 μB per formula unit
space-group type: R-3m

---

(4)
Crystalline NpVP at its relaxed geometry, computed with GGA-PBE.

Cell and atoms, written as extended XYZ:
```
3
Lattice="3.192 0.000 0.000 0.000 3.192 0.000 -1.596 -1.596 4.931" Properties=species:S:1:pos:R:3 pbc="T T T"
P 0.000 0.000 2.948
Np 1.596 1.596 4.906
V 1.596 1.596 2.009
```

Properties
E_form: -28.7 kJ per mole of atoms
volume: 50.3 Å³ per cell
electronic total energy: -28.4 eV for the cell shown
magnetization: 2.8 μB per formula unit
space-group type: I4mm

---

(5)
Crystalline RbTe2O at its relaxed geometry, computed with GGA-PBE.

Cell and atoms, written as extended XYZ:
```
4
Lattice="-7.090 0.239 0.191 -4.259 2.271 5.202 -4.281 5.658 0.125" Properties=species:S:1:pos:R:3 pbc="T T T"
Te -13.957 7.294 4.927
Te -1.673 0.874 0.590
O 0.000 0.000 0.000
Rb -7.815 4.084 2.759
```

Properties
volume: 198.7 Å³ per cell
formation energy without anion corrections: -245 meV/atom
electronic total energy: -13.2 eV for the cell shown
magnetization: 0.0 μB per formula unit
space-group type: R-3m

---

(6)
Crystalline LiTiTc2 at its relaxed geometry, computed with GGA-PBE.

Cell and atoms, written as extended XYZ:
```
4
Lattice="0.000 3.039 3.039 3.039 0.000 3.039 3.039 3.039 0.000" Properties=species:S:1:pos:R:3 pbc="T T T"
Li 0.000 0.000 0.000
Tc 1.520 1.520 1.520
Ti 3.039 3.039 3.039
Tc 4.559 4.559 4.559
```

Properties
E_form: 16.4 kJ per mole of atoms
volume: 56.2 Å³ per cell
electronic total energy: -29.9 eV for the cell shown
magnetization: 0.0 μB per formula unit
space-group type: Fm-3m

---

(7)
Crystalline PuGaSn at its relaxed geometry, computed with GGA-PBE.

Cell and atoms, written as extended XYZ:
```
3
Lattice="4.779 0.000 0.000 2.389 4.138 0.000 2.389 1.379 3.902" Properties=species:S:1:pos:R:3 pbc="T T T"
Pu 4.779 2.759 1.951
Ga 2.389 1.379 0.975
Sn 0.000 0.000 0.000
```

Properties
E_form: -16.6 kJ per mole of atoms
volume: 77.2 Å³ per cell
electronic total energy: -21.9 eV for the cell shown
magnetization: 5.9 μB per formula unit
space-group type: F-43m

---

(8)
Crystalline La2TmSb at its relaxed geometry, computed with GGA-PBE.

Cell and atoms, written as extended XYZ:
```
4
Lattice="-1.550 2.199 4.197 -4.233 1.142 -2.162 -1.915 -4.236 1.512" Properties=species:S:1:pos:R:3 pbc="T T T"
Sb -0.775 1.099 2.098
La -2.116 0.571 -1.081
Tm -3.849 -0.447 1.773
La -0.958 -2.118 0.756
```

Properties
volume: 119.1 Å³ per cell
formation energy without anion corrections: -545 meV/atom
electronic total energy: -20.6 eV for the cell shown
magnetization: 0.0 μB per formula unit
space-group type: P4/mmm

---

(9)
Crystalline Ho2TlH at its relaxed geometry, computed with GGA-PBE.

Cell and atoms, written as extended XYZ:
```
4
Lattice="-2.586 0.397 2.445 -3.277 -1.299 -0.632 0.108 -7.100 3.889" Properties=species:S:1:pos:R:3 pbc="T T T"
Tl -2.877 -4.001 2.851
H 0.000 0.000 0.000
Ho -4.156 -6.529 4.531
Ho -1.599 -1.473 1.171
```

Properties
volume: 86.9 Å³ per cell
electronic total energy: -16.0 eV for the cell shown
magnetization: 0.0 μB per formula unit
space-group type: R-3m

---

(10)
Crystalline Tb12Ni6Pt at its relaxed geometry, computed with GGA-PBE.

Cell and atoms, written as extended XYZ:
```
19
Lattice="-7.102 3.768 2.133 0.956 -6.896 4.552 6.390 5.142 1.382" Properties=species:S:1:pos:R:3 pbc="T T T"
Tb 3.203 4.532 2.284
Tb -1.817 0.897 5.649
Pt 0.000 0.000 0.000
Tb -0.482 -1.256 3.088
Ni -2.654 3.286 4.256
Ni 2.897 -1.271 3.810
Tb 1.875 -3.661 4.370
Tb 1.588 -0.069 5.787
Tb 5.023 0.410 4.810
Ni -0.327 -2.219 5.561
Tb -2.960 -2.517 5.782
Tb -4.779 1.604 3.257
Tb 2.061 1.117 2.418
Ni 3.407 2.454 4.281
Ni 0.571 4.234 2.506
Ni -3.163 -0.440 3.786
Tb 0.726 3.271 4.979
Tb -1.631 5.675 3.696
Tb -1.344 2.083 2.280
```

Properties
E_form: -37.2 kJ per mole of atoms
volume: 443.0 Å³ per cell
electronic total energy: -103.6 eV for the cell shown
magnetization: 0.0 μB per formula unit
space-group type: Im-3